Below is GaPdPb2 after structural relaxation, with properties calculated at the GGA-PBE level.

Formation energy from the elements in eV per atom: 0.19
ρ in g/cm3: 9.72
Total magnetization in μB per cell: 0.00
Energy in eV per atom: -3.72
DOS(E_F) in states/eV/cell: 4.8

Cell: 3.2399 3.2399 33.2859 Å, 90.00 90.00 120.00°
With the nearest neighbours (Å) after each atom.
Space group R-3m (No. 166, hexagonal axes)
Inequivalent atoms, fractional coordinates:
Ga: 0.0000 0.0000 0.0000 [3 per cell]  6 Ga 3.24, 6 Pb 3.39
Pd: 0.0000 0.0000 0.5000 [3 per cell]  2 Pb 2.72
Pb: 0.0000 0.0000 0.4184 [6 per cell]  1 Pd 2.72

Below is DyTlAgS2 after structural relaxation, with properties calculated at the GGA-PBE level.

ρ in g/cm3: 6.52
Total magnetization in μB per cell: 0.00
Energy in eV per atom: -4.43
DOS(E_F) in states/eV/cell: 3.1

Cell: 6.3344 6.0097 7.4468 Å, 90.00 104.49 90.00°
With the nearest neighbours (Å) after each atom.
Space group P2/c (No. 13)
Inequivalent atoms, fractional coordinates:
Dy: 0.0000 0.0171 0.2500 [2 per cell]  4 S 2.64-2.67
Tl: 0.5000 0.3109 0.2500 [2 per cell]  6 S 3.23-3.53, 2 Ag 3.44
Ag: 0.0000 0.5000 0.0000 [2 per cell]  2 S 2.43
S: 0.2492 0.1860 0.5641 [4 per cell]  1 Ag 2.43, 2 Dy 2.64-2.67

Below is LiPrHoTc after structural relaxation, with properties calculated at the GGA-PBE level.

Formation energy from the elements in eV per atom: 0.04
ρ in g/cm3: 7.67
Total magnetization in μB per cell: 0.00
Energy in eV per atom: -5.37
DOS(E_F) in states/eV/cell: 15.4

Cell: 7.0855 7.0855 7.0855 Å, 90.00 90.00 90.00°
With the nearest neighbours (Å) after each atom.
Space group F-43m (No. 216)
Inequivalent atoms, fractional coordinates:
Li: 0.0000 0.0000 0.0000 [4 per cell]  4 Pr 3.07, 4 Ho 3.07
Pr: 0.2500 0.2500 0.2500 [4 per cell]  4 Li 3.07, 4 Tc 3.07
Ho: 0.2500 0.2500 0.7500 [4 per cell]  4 Li 3.07, 4 Tc 3.07
Tc: 0.0000 0.0000 0.5000 [4 per cell]  4 Pr 3.07, 4 Ho 3.07

Below is MgNiRh2N after structural relaxation, with properties calculated at the GGA-PBE level.

ρ in g/cm3: 7.91
Total magnetization in μB per cell: 0.00
Energy in eV per atom: -6.26
DOS(E_F) in states/eV/cell: 4.2

Cell: 4.1187 4.1187 3.7475 Å, 90.00 90.00 90.00°
With the nearest neighbours (Å) after each atom.
Space group P4/mmm (No. 123)
Inequivalent atoms, fractional coordinates:
Mg: 0.0000 0.0000 0.0000 [1 per cell]  8 Rh 2.78, 4 Ni 2.91
Ni: 0.5000 0.5000 0.0000 [1 per cell]  2 N 1.87
Rh: 0.0000 0.5000 0.5000 [2 per cell]  2 N 2.06
N: 0.5000 0.5000 0.5000 [1 per cell]  2 Ni 1.87, 4 Rh 2.06

Below is Li3Tm3NpS8 after structural relaxation, with properties calculated at the GGA-PBE level.

ρ in g/cm3: 5.25
Total magnetization in μB per cell: 9.00
Energy in eV per atom: -6.05
DOS(E_F) in states/eV/cell: 41.3

Cell: 7.7809 7.7809 18.4800 Å, 90.00 90.00 120.00°
With the nearest neighbours (Å) after each atom.
Space group R-3m (No. 166, hexagonal axes)
Inequivalent atoms, fractional coordinates:
Li: 0.0000 0.5000 0.0000 [9 per cell]  6 S 2.73-2.74
Tm: 0.0000 0.5000 0.5000 [9 per cell]  6 S 2.71
Np: 0.0000 0.0000 0.5000 [3 per cell]  6 S 2.68
S: 0.0000 0.0000 0.2490 [6 per cell]  3 Tm 2.71, 3 Li 2.73
S: 0.0033 0.5017 0.2474 [18 per cell]  1 Np 2.68, 2 Tm 2.71, 2 Li 2.74

Below is CrHgMo2 after structural relaxation, with properties calculated at the GGA-PBE level.

Formation energy from the elements in eV per atom: 0.52
ρ in g/cm3: 11.53
Total magnetization in μB per cell: 0.00
Energy in eV per atom: -7.37
DOS(E_F) in states/eV/cell: 5.1

Cell: 9.8502 3.2496 4.4865 Å, 90.00 116.96 90.00°
With the nearest neighbours (Å) after each atom.
Space group Cm (No. 8)
Inequivalent atoms, fractional coordinates:
Cr: 0.0000 0.0000 0.0000 [2 per cell]  4 Mo 2.50-2.77, 2 Hg 2.80
Hg: 0.2404 0.0000 0.7443 [2 per cell]  8 Mo 2.78-2.98, 4 Cr 2.80-3.10
Mo: 0.2166 0.5000 0.2204 [2 per cell]  2 Cr 2.50, 2 Mo 2.71, 4 Hg 2.78
Mo: 0.4634 0.0000 0.4674 [2 per cell]  2 Mo 2.71, 4 Cr 2.77-2.80, 4 Hg 2.92-2.98

Below is Mg4Si3 after structural relaxation, with properties calculated at the GGA-PBE level.

Distance to the lowest polymorph of the same formula in meV/atom: 62
ρ in g/cm3: 2.26
Total magnetization in μB per cell: 0.00
Energy in eV per atom: -3.21
DOS(E_F) in states/eV/cell: 4.0

Cell: 5.3382 6.7422 7.9879 Å, 68.87 86.57 85.32°
With the nearest neighbours (Å) after each atom.
Space group P1 (No. 1)
Inequivalent atoms, fractional coordinates:
Mg: 0.0000 0.0000 0.0000 [1 per cell]  4 Si 2.77-2.95, 3 Mg 3.02-3.07
Mg: 0.0123 0.4209 0.1146 [1 per cell]  4 Si 2.66-2.76
Mg: 0.0577 0.7903 0.7209 [1 per cell]  4 Si 2.77-2.88, 3 Mg 2.93-3.03
Mg: 0.2061 0.6184 0.3628 [1 per cell]  4 Si 2.74-2.93, 2 Mg 3.02-3.05
Mg: 0.3038 0.3609 0.7620 [1 per cell]  4 Si 2.72-2.83, 2 Mg 2.99-3.02
Mg: 0.5081 0.1153 0.1732 [1 per cell]  5 Si 2.85-3.07, 3 Mg 3.07-3.17
Mg: 0.6015 0.7691 0.5425 [1 per cell]  5 Si 2.75-2.91, 3 Mg 2.93-3.07
Mg: 0.7811 0.2841 0.5235 [1 per cell]  6 Si 2.76-3.05
Si: 0.0199 0.0148 0.3505 [1 per cell]  1 Si 2.49, 2 Mg 2.71-2.74
Si: 0.3077 0.1549 0.5095 [1 per cell]  2 Si 2.49-2.55, 1 Mg 2.76
Si: 0.4804 0.5789 0.0124 [1 per cell]  3 Si 2.44-2.59
Si: 0.4866 0.9538 0.8183 [1 per cell]  2 Si 2.44-2.55, 1 Mg 2.72
Si: 0.6998 0.6901 0.2267 [1 per cell]  1 Si 2.48, 3 Mg 2.72-2.77
Si: 0.7938 0.4252 0.8228 [1 per cell]  1 Si 2.59, 7 Mg 2.66-2.88

Below is CsBaIF2 after structural relaxation, with properties calculated at the GGA-PBE level.

Distance to the lowest polymorph of the same formula in meV/atom: 0
ρ in g/cm3: 3.81
Total magnetization in μB per cell: 0.00
Energy in eV per atom: -4.44
DOS(E_F) in states/eV/cell: 0.0

Cell: 5.0407 5.0407 7.4548 Å, 90.00 90.00 90.00°
With the nearest neighbours (Å) after each atom.
Space group P4mm (No. 99)
Inequivalent atoms, fractional coordinates:
Cs: 0.0000 0.0000 0.0000 [1 per cell]  4 F 3.12
Ba: 0.5000 0.5000 0.3277 [1 per cell]  4 F 2.59
I: 0.5000 0.5000 0.7943 [1 per cell]  1 Ba 3.48, 4 Cs 3.88
F: 0.0000 0.5000 0.2476 [2 per cell]  2 Ba 2.59

Below is Ba2UAgSe6 after structural relaxation, with properties calculated at the GGA-PBE level.

ρ in g/cm3: 6.02
Total magnetization in μB per cell: 0.00
Energy in eV per atom: -5.09
DOS(E_F) in states/eV/cell: 20.4

Cell: 7.3562 7.9341 12.4584 Å, 90.00 123.83 90.00°
With the nearest neighbours (Å) after each atom.
Space group P2_1/c (No. 14)
Inequivalent atoms, fractional coordinates:
Ba: 0.2159 0.0852 0.2465 [4 per cell]  8 Se 3.30-3.63
U: 0.5000 0.0000 0.0000 [2 per cell]  6 Se 2.68-2.72
Ag: 0.0000 0.0000 0.5000 [2 per cell]  6 Se 2.67-2.93
Se: 0.1610 0.1854 0.9580 [4 per cell]  1 U 2.68, 1 Ag 2.93
Se: 0.2745 0.7093 0.9583 [4 per cell]  1 U 2.72, 1 Ag 2.88
Se: 0.3378 0.0110 0.7467 [4 per cell]  1 Ag 2.67, 1 U 2.68

Below is CeEr2Cl after structural relaxation, with properties calculated at the GGA-PBE level.

ρ in g/cm3: 7.92
Total magnetization in μB per cell: 2.55
Energy in eV per atom: -4.85
DOS(E_F) in states/eV/cell: 16.3

Cell: 3.5456 3.5456 29.4681 Å, 90.00 90.00 120.00°
With the nearest neighbours (Å) after each atom.
Space group R-3m (No. 166, hexagonal axes)
Inequivalent atoms, fractional coordinates:
Ce: 0.0000 0.0000 0.0000 [3 per cell]  6 Er 3.42, 6 Ce 3.55
Er: 0.0000 0.0000 0.2405 [6 per cell]  3 Cl 2.99
Cl: 0.0000 0.0000 0.5000 [3 per cell]  6 Er 2.99

Below is Zr2TaIr after structural relaxation, with properties calculated at the GGA-PBE level.

Formation energy from the elements in eV per atom: -0.25
Distance to the lowest polymorph of the same formula in meV/atom: 139
ρ in g/cm3: 12.19
Total magnetization in μB per cell: 0.00
Energy in eV per atom: -9.70
DOS(E_F) in states/eV/cell: 4.2

Cell: 3.0331 4.6338 5.5159 Å, 90.00 102.44 90.00°
With the nearest neighbours (Å) after each atom.
Space group Pm (No. 6)
Inequivalent atoms, fractional coordinates:
Zr: 0.0000 0.0000 0.0000 [1 per cell]  2 Ta 2.81-2.90, 2 Ir 2.86, 4 Zr 2.95-3.03
Zr: 0.2677 0.5000 0.7346 [1 per cell]  2 Ir 2.81-2.88, 2 Ta 2.92, 4 Zr 2.95-3.03
Ta: 0.5425 0.0000 0.4819 [1 per cell]  2 Ir 2.80, 4 Zr 2.81-2.92, 2 Ta 3.03
Ir: 0.7554 0.5000 0.2450 [1 per cell]  2 Ta 2.80, 4 Zr 2.81-2.88, 2 Ir 3.03

Below is Pr2NdDy3 after structural relaxation, with properties calculated at the GGA-PBE level.

Formation energy from the elements in eV per atom: 0.19
Distance to the lowest polymorph of the same formula in meV/atom: 74
ρ in g/cm3: 7.43
Total magnetization in μB per cell: 0.00
Energy in eV per atom: -4.49
DOS(E_F) in states/eV/cell: 42.3

Cell: 10.0901 12.1237 6.6790 Å, 90.00 90.00 90.00°
With the nearest neighbours (Å) after each atom.
Space group Cmcm (No. 63)
Inequivalent atoms, fractional coordinates:
Pr: 0.1709 0.2438 0.2500 [8 per cell]  5 Dy 3.34-3.73, 3 Pr 3.45-3.70, 1 Nd 3.50
Nd: 0.0000 0.0078 0.7500 [4 per cell]  5 Dy 3.33-3.67, 2 Nd 3.34, 2 Pr 3.50
Dy: 0.0000 0.2828 0.7500 [4 per cell]  1 Nd 3.33, 2 Pr 3.34, 4 Dy 3.59
Dy: 0.1761 0.5000 0.0000 [8 per cell]  5 Dy 3.34-3.59, 4 Pr 3.53-3.73, 2 Nd 3.67